First-principles (PBE) data for a relaxed structure of LiLaPrPb, as listed in the Alexandria database.

Computed properties:
Spin magnetization: 0.000 μB/cell
VASP energy: -4.1700 eV per atom
ΔE_f: -1.351 eV/f.u.

Cell lengths 7.831, 7.831, 7.831 Å; angles 90.00, 90.00, 90.00 degrees
Space group F-43m (No. 216)
Symmetry-distinct sites (fractional):
Li1 0.000 0.000 0.000 x4
La1 0.250 0.250 0.750 x4
Pr1 0.250 0.250 0.250 x4
Pb1 0.000 0.000 0.500 x4

***

First-principles (PBE) data for a relaxed structure of LiLa2PtPb, as listed in the Alexandria database.

Computed properties:
Spin magnetization: 0.000 μB/cell
VASP energy: -4.9090 eV per atom
ΔE_f: -3.027 eV/f.u.

Cell lengths 5.615, 5.615, 4.816 Å; angles 90.00, 90.00, 90.00 degrees
Space group P4/mmm (No. 123)
Symmetry-distinct sites (fractional):
Li1 0.000 0.000 0.000 x1
La1 0.000 0.500 0.500 x2
Pt1 0.000 0.000 0.500 x1
Pb1 0.500 0.500 0.000 x1

***

First-principles (PBE) data for a relaxed structure of Li2LaRePb, as listed in the Alexandria database.

Computed properties:
Spin magnetization: 3.332 μB/cell
VASP energy: -3.9391 eV per atom
ΔE_f: 5.216 eV/f.u.

Cell lengths 4.890, 4.890, 6.204 Å; angles 90.00, 90.00, 90.00 degrees
Space group P4/mmm (No. 123)
Symmetry-distinct sites (fractional):
Li1 0.000 0.500 0.000 x2
La1 0.000 0.000 0.500 x1
Re1 0.500 0.500 0.500 x1
Pb1 0.000 0.000 0.000 x1

***

First-principles (PBE) data for a relaxed structure of LiLaRuPb, as listed in the Alexandria database.

Computed properties:
Spin magnetization: 0.000 μB/cell
VASP energy: -5.1359 eV per atom
ΔE_f: -0.718 eV/f.u.

Cell lengths 6.962, 6.962, 6.962 Å; angles 90.00, 90.00, 90.00 degrees
Space group F-43m (No. 216)
Symmetry-distinct sites (fractional):
Li1 0.000 0.000 0.000 x4
La1 0.250 0.250 0.750 x4
Ru1 0.000 0.000 0.500 x4
Pb1 0.250 0.250 0.250 x4

***

First-principles (PBE) data for a relaxed structure of LiLaRuPb2, as listed in the Alexandria database.

Computed properties:
Spin magnetization: 0.227 μB/cell
VASP energy: -3.0141 eV per atom
ΔE_f: 8.463 eV/f.u.

Cell lengths 5.882, 5.882, 5.050 Å; angles 90.00, 90.00, 90.00 degrees
Space group P4/mmm (No. 123)
Symmetry-distinct sites (fractional):
Li1 0.000 0.000 0.000 x1
La1 0.000 0.000 0.500 x1
Ru1 0.500 0.500 0.000 x1
Pb1 0.000 0.500 0.500 x2

***

First-principles (PBE) data for a relaxed structure of LiLaPbS3, as listed in the Alexandria database.

Computed properties:
Spin magnetization: 0.000 μB/cell
VASP energy: -5.2114 eV per atom
Formation energy without anion corrections: -1389 meV/atom

Cell lengths 8.689, 3.987, 8.750 Å; angles 90.00, 98.77, 90.00 degrees
Space group P2_1/m (No. 11)
Symmetry-distinct sites (fractional):
Li1 0.095 0.250 0.088 x2
La1 0.161 0.250 0.715 x2
Pb1 0.349 0.750 0.327 x2
S1 0.099 0.250 0.368 x2
S2 0.186 0.750 0.968 x2
S3 0.392 0.750 0.651 x2

***

First-principles (PBE) data for a relaxed structure of LiLaScPb2, as listed in the Alexandria database.

Computed properties:
Spin magnetization: 0.001 μB/cell
VASP energy: -4.5257 eV per atom
ΔE_f: -2.039 eV/f.u.

Cell lengths 4.624, 4.624, 12.955 Å; angles 90.00, 90.00, 90.00 degrees
Space group I-4m2 (No. 119)
Symmetry-distinct sites (fractional):
Li1 0.000 0.000 0.000 x2
La1 0.000 0.500 0.250 x2
Sc1 0.000 0.000 0.500 x2
Pb1 0.000 0.500 0.634 x4

***

First-principles (PBE) data for a relaxed structure of Li2La2SmPb2, as listed in the Alexandria database.

Computed properties:
Spin magnetization: 0.000 μB/cell
VASP energy: -4.0619 eV per atom
ΔE_f: -2.615 eV/f.u.

Cell lengths 4.8757, 4.8757, 28.0858 Å; angles 90.00, 90.00, 120.00 degrees
Space group R-3m (No. 166, hexagonal axes)
Symmetry-distinct sites (fractional):
Li1 0.0000 0.0000 0.0988 x6
La1 0.0000 0.0000 0.3669 x6
Sm1 0.0000 0.0000 0.5000 x3
Pb1 0.0000 0.0000 0.2326 x6